# Tm3Au4

A relaxed structure of Tm3Au4 (GGA-PBE, the Alexandria database).

Cell lengths 8.595, 8.595, 8.595 Å; angles 33.22, 33.22, 33.22 degrees
Element x y z (fractional)
Tm 0.000 0.000 0.000
Tm 0.242 0.242 0.242
Tm 0.758 0.758 0.758
Au 0.121 0.121 0.121
Au 0.366 0.366 0.366
Au 0.634 0.634 0.634
Au 0.879 0.879 0.879

As for the calculated total energy: -4.518 eV/atom. The value obtained for the formation energy from the elements is -0.729 eV per atom. For the magnetic moment, the calculation gives 0.0 Bohr magnetons per cell.

# CsGa2Fe

A relaxed structure of CsGa2Fe (GGA-PBE, the Alexandria database).

Cell lengths 5.103, 5.103, 5.103 Å; angles 60.00, 60.00, 60.00 degrees
Element x y z (fractional)
Cs 0.000 0.000 0.000
Ga 0.250 0.250 0.250
Ga 0.750 0.750 0.750
Fe 0.500 0.500 0.500

As for the calculated total energy: -2.932 eV/atom. The value obtained for the formation energy from the elements is 0.910 eV per atom. For the magnetic moment, the calculation gives 2.8 Bohr magnetons per cell.